# PBE NaMnPd, optimized geometry
# - SG: No. 216
# - Calculated total energy: -0.35696 Ry/atom
# - Distance to the lowest polymorph of the same formula: 361 meV/atom
# - N(E_F): 1.723 states/eV/f.u.
data_NaMnPd
_cell_length_a 4.485
_cell_length_b 4.485
_cell_length_c 4.485
_cell_angle_alpha 60.00
_cell_angle_beta 60.00
_cell_angle_gamma 60.00
_symmetry_space_group_name_H-M 'P 1'
_symmetry_Int_Tables_number 1
_symmetry_space_group_name_Hall 'P 1'
loop_
_atom_site_label
_atom_site_type_symbol
_atom_site_fract_x
_atom_site_fract_y
_atom_site_fract_z
_atom_site_occupancy
Na1 Na 0.250 0.250 0.250 1
Mn1 Mn 0.750 0.750 0.750 1
Pd1 Pd 0.500 0.500 0.500 1